AlRhSe2: relaxed, PBE.

Cell lengths 3.348, 3.348, 7.017 Å; angles 90.00, 90.00, 90.00 degrees
Element x y z (fractional)
1 Al 0.000 0.000 0.000
2 Rh 0.500 0.500 0.226
3 Se 0.000 0.000 0.383
4 Se 0.500 0.500 0.846

**Calculated volume**: 79 Å³/cell
**Formation energy without anion corrections**: -7.3 kcal/mol of atoms
**Density**: 6.08 g cm⁻³